No. 1
Entry from Alexandria via LeMat-Bulk: crystalline SrTiBe2Au at its relaxed geometry (PBE).

Results
DFT formation energy (meV/atom): 751
DOS(E_F) (states/eV per cell): 4.183

Unit cell a=4.5483 b=4.5483 c=5.6102 alpha=90.00 beta=90.00 gamma=90.00
Closest atoms and distances in Å follow each position.
Atoms (fractional coordinates):
1 Sr 0.0000 0.0000 0.0000  2 Au 2.81
2 Ti 0.5000 0.5000 0.0000  4 Sr 3.22
3 Be 0.0000 0.5000 0.5000  2 Au 2.27
4 Be 0.5000 0.0000 0.5000  2 Au 2.27
5 Au 0.0000 0.0000 0.5000  4 Be 2.27

No. 2
Entry from Alexandria via LeMat-Bulk: crystalline SrBeTlAu2 at its relaxed geometry (PBE).

Results
DFT formation energy (meV/atom): -262
DOS(E_F) (states/eV per cell): 2.205

Unit cell a=4.8164 b=4.8164 c=4.8505 alpha=90.00 beta=90.00 gamma=90.00
Closest atoms and distances in Å follow each position.
Atoms (fractional coordinates):
1 Sr 0.0000 0.0000 0.0000  4 Tl 3.41, 8 Au 3.42
2 Be 0.5000 0.5000 0.5000  4 Au 2.41, 2 Tl 2.43
3 Tl 0.5000 0.5000 0.0000  2 Be 2.43
4 Au 0.0000 0.5000 0.5000  2 Be 2.41
5 Au 0.5000 0.0000 0.5000  2 Be 2.41

No. 3
Entry from Alexandria via LeMat-Bulk: crystalline SrY2BeAu at its relaxed geometry (PBE).

Results
DFT formation energy (meV/atom): 39
DOS(E_F) (states/eV per cell): 7.569

Unit cell a=5.3885 b=5.3885 c=4.5594 alpha=90.00 beta=90.00 gamma=90.00
Closest atoms and distances in Å follow each position.
Atoms (fractional coordinates):
1 Sr 0.0000 0.0000 0.0000  8 Y 3.53, 4 Au 3.81
2 Y 0.0000 0.5000 0.5000  2 Be 2.69
3 Y 0.5000 0.0000 0.5000  2 Be 2.69
4 Be 0.5000 0.5000 0.5000  2 Au 2.28
5 Au 0.5000 0.5000 0.0000  2 Be 2.28

No. 4
Entry from Alexandria via LeMat-Bulk: crystalline SrBeZnAu6 at its relaxed geometry (PBE).

Results
DFT formation energy (meV/atom): -181
DOS(E_F) (states/eV per cell): 3.381

Unit cell a=8.2601 b=8.2601 c=8.2601 alpha=124.13 beta=116.50 gamma=89.58
Closest atoms and distances in Å follow each position.
Atoms (fractional coordinates):
1 Sr 0.4189 0.1689 0.2500  6 Au 3.07-3.21
2 Sr 0.5811 0.8311 0.7500  6 Au 3.07-3.21
3 Be 0.0000 0.5000 0.5000  6 Au 2.29-2.32
4 Be 0.5000 0.5000 0.0000  6 Au 2.29-2.32
5 Zn 0.0000 0.0000 0.5000  6 Au 2.55-2.57
6 Zn 0.0000 0.5000 0.0000  6 Au 2.55-2.57
7 Au 0.1121 0.3943 0.2594  1 Be 2.29, 1 Zn 2.55
8 Au 0.1121 0.8528 0.7178  1 Be 2.29, 1 Zn 2.55
9 Au 0.1448 0.8948 0.2500  2 Zn 2.57
10 Au 0.3190 0.5690 0.7500  2 Be 2.32
11 Au 0.3650 0.1472 0.7594  1 Be 2.29, 1 Zn 2.55
12 Au 0.3650 0.6057 0.2178  1 Be 2.29, 1 Zn 2.55
13 Au 0.6350 0.3943 0.7822  1 Be 2.29, 1 Zn 2.55
14 Au 0.6350 0.8528 0.2406  1 Be 2.29, 1 Zn 2.55
15 Au 0.6810 0.4310 0.2500  2 Be 2.32
16 Au 0.8552 0.1052 0.7500  2 Zn 2.57
17 Au 0.8879 0.1472 0.2822  1 Be 2.29, 1 Zn 2.55
18 Au 0.8879 0.6057 0.7406  1 Be 2.29, 1 Zn 2.55

No. 5
Entry from Alexandria via LeMat-Bulk: crystalline SrBe2ZnAu5 at its relaxed geometry (PBE).

Results
DFT formation energy (meV/atom): -233
DOS(E_F) (states/eV per cell): 3.253

Unit cell a=4.5059 b=4.5059 c=8.7000 alpha=90.00 beta=90.00 gamma=90.00
Closest atoms and distances in Å follow each position.
Atoms (fractional coordinates):
1 Sr 0.0000 0.0000 0.0000  4 Au 3.19
2 Be 0.5000 0.5000 0.2604  5 Au 2.27-2.32
3 Be 0.5000 0.5000 0.7396  5 Au 2.27-2.32
4 Zn 0.0000 0.0000 0.5000  8 Au 2.71
5 Au 0.0000 0.5000 0.3259  2 Be 2.32
6 Au 0.0000 0.5000 0.6741  2 Be 2.32
7 Au 0.5000 0.0000 0.3259  2 Be 2.32
8 Au 0.5000 0.0000 0.6741  2 Be 2.32
9 Au 0.5000 0.5000 0.0000  2 Be 2.27

No. 6
Entry from Alexandria via LeMat-Bulk: crystalline SrBeZn2Au4 at its relaxed geometry (PBE).

Results
DFT formation energy (meV/atom): -336
DOS(E_F) (states/eV per cell): 1.064

Unit cell a=9.4018 b=9.4018 c=9.4018 alpha=27.30 beta=27.30 gamma=27.30
Closest atoms and distances in Å follow each position.
Atoms (fractional coordinates):
1 Sr 0.0000 0.0000 0.0000  6 Au 3.30, 6 Zn 3.58
2 Be 0.5000 0.5000 0.5000  8 Au 2.45-2.66
3 Zn 0.2410 0.2410 0.2410  7 Au 2.60-2.87
4 Zn 0.7590 0.7590 0.7590  7 Au 2.60-2.87
5 Au 0.1396 0.1396 0.1396  3 Be 2.66, 4 Zn 2.75-2.87, 3 Au 2.95
6 Au 0.4098 0.4098 0.4098  1 Be 2.45, 3 Zn 2.60
7 Au 0.5902 0.5902 0.5902  1 Be 2.45, 3 Zn 2.60
8 Au 0.8604 0.8604 0.8604  3 Be 2.66, 4 Zn 2.75-2.87, 3 Au 2.95